No. 1
# TcSbRuI2

A relaxed structure of TcSbRuI2 (PBEsol, the Alexandria database).

The structure in extended XYZ format:
```
5
Lattice="5.311 0.000 0.000 0.000 5.311 0.000 0.000 0.000 4.970" Properties=species:S:1:pos:R:3 pbc="T T T"
Tc 0.000 0.000 0.000
Sb 2.655 2.655 0.000
Ru 2.655 2.655 2.485
I 0.000 2.655 2.485
I 2.655 0.000 2.485
```

## Properties
Raw formation energy ... 1.32 eV per atom
Symmetry ... P4/mmm, No. 123

=====

No. 2
# RbPtF2

A relaxed structure of RbPtF2 (PBEsol, the Alexandria database).

The structure in extended XYZ format:
```
12
Lattice="3.198 0.000 0.000 -1.599 2.770 0.000 0.000 0.000 22.857" Properties=species:S:1:pos:R:3 pbc="T T T"
Rb 0.000 0.000 0.000
Rb 0.000 1.846 15.238
Rb 1.599 0.923 7.619
Pt 0.000 0.000 11.428
Pt 0.000 1.846 3.809
Pt 1.599 0.923 19.047
F 0.000 0.000 9.445
F 0.000 0.000 13.412
F 0.000 1.846 1.826
F 0.000 1.846 5.793
F 1.599 0.923 17.064
F 1.599 0.923 21.031
```

## Properties
Raw formation energy ... -1.33 eV per atom
Symmetry ... R-3m, No. 166

=====

No. 3
# La4B14O27

A relaxed structure of La4B14O27 (PBEsol, the Alexandria database).

The structure in extended XYZ format:
```
90
Lattice="5.594 -3.208 0.000 5.594 3.208 0.000 -4.422 0.000 25.013" Properties=species:S:1:pos:R:3 pbc="T T T"
La 1.070 0.539 4.623
La 2.036 1.605 13.900
La -1.141 -0.539 17.130
La 2.519 1.605 23.619
La 4.247 -1.605 1.394
La 7.907 0.539 7.883
La 4.730 -1.605 11.113
La 5.696 -0.539 20.390
B 1.671 0.896 1.169
B -2.649 0.439 21.291
B 4.178 1.531 1.355
B -0.438 -0.439 8.784
B 1.445 1.515 17.647
B 2.365 1.105 10.547
B 1.723 0.472 8.120
B -0.540 -0.896 13.675
B -0.488 -0.472 20.627
B 3.110 1.515 19.872
B 4.799 1.531 11.151
B 4.177 0.617 7.845
B 4.800 0.617 4.662
B 6.612 1.105 1.959
B 0.154 -1.105 23.054
B 1.966 -0.617 20.351
B 2.589 -0.617 17.168
B 1.967 -1.531 13.862
B 3.656 -1.515 5.141
B 7.254 0.472 4.386
B 7.306 0.896 11.338
B 5.043 -0.472 16.892
B 4.401 -1.105 14.466
B 5.321 -1.515 7.366
B 7.204 0.439 16.229
B 2.588 -1.531 23.658
B 9.415 -0.439 3.722
B 5.095 -0.896 23.844
O 1.158 1.355 7.069
O -2.748 0.591 22.745
O 0.273 2.275 22.732
O 4.589 2.113 0.045
O 1.976 2.224 16.457
O -1.326 0.714 20.785
O 1.784 1.322 9.312
O 1.608 1.362 11.629
O 4.138 1.966 8.070
O 3.039 0.628 1.216
O 4.839 1.966 4.437
O 2.277 1.936 18.760
O -0.537 -0.591 10.239
O 2.579 2.224 21.062
O 4.388 2.113 12.462
O 4.282 2.275 14.788
O 0.885 -0.714 8.278
O 0.801 0.094 20.243
O 0.828 -0.628 13.722
O 1.405 0.058 17.341
O 3.695 0.650 10.657
O 5.282 0.650 1.849
O 3.011 -0.094 7.736
O 3.616 -0.058 4.834
O -1.053 -1.355 19.575
O 7.369 1.362 0.878
O 7.193 1.322 3.194
O -0.427 -1.322 21.819
O -0.603 -1.362 24.135
O 7.819 1.355 5.438
O 3.150 0.058 20.178
O 3.754 0.094 17.277
O 1.484 -0.650 23.164
O 3.071 -0.650 14.356
O 5.361 -0.058 7.672
O 5.938 0.628 11.291
O 5.965 -0.094 4.770
O 5.881 0.714 16.735
O 2.484 -2.275 10.225
O 2.378 -2.113 12.551
O 4.187 -2.224 3.951
O 7.303 0.591 14.774
O 4.488 -1.936 6.253
O 1.927 -1.966 20.576
O 3.727 -0.628 23.797
O 2.628 -1.966 16.943
O 5.158 -1.362 13.384
O 4.982 -1.322 15.701
O 8.092 -0.714 4.228
O 4.790 -2.224 8.556
O 2.177 -2.113 24.968
O 6.493 -2.275 2.281
O 9.514 -0.591 2.268
O 5.608 -1.355 17.944
```

## Properties
Raw formation energy ... -2.78 eV per atom
Symmetry ... C2/c, No. 15

=====

No. 4
# YNi2Hg

A relaxed structure of YNi2Hg (PBEsol, the Alexandria database).

The structure in extended XYZ format:
```
8
Lattice="3.807 0.000 0.000 0.000 3.717 0.000 0.000 0.000 9.546" Properties=species:S:1:pos:R:3 pbc="T T T"
Y 0.000 0.000 0.000
Y 0.000 1.858 4.773
Ni 0.000 0.000 6.882
Ni 0.000 1.858 2.108
Ni 1.903 0.000 5.522
Ni 1.903 1.858 0.749
Hg 1.903 0.000 2.822
Hg 1.903 1.858 7.595
```

## Properties
ΔE_f ... -297 meV per atom
Symmetry ... Amm2, No. 38

=====

No. 5
# Dy2Ni7

A relaxed structure of Dy2Ni7 (PBEsol, the Alexandria database).

The structure in extended XYZ format:
```
36
Lattice="4.845 0.000 0.000 -2.422 4.196 0.000 0.000 0.000 23.750" Properties=species:S:1:pos:R:3 pbc="T T T"
Dy 0.000 2.797 0.695
Dy 0.000 2.797 4.133
Dy 0.000 2.797 7.742
Dy 0.000 2.797 11.180
Dy 2.422 1.399 12.570
Dy 2.422 1.399 16.008
Dy 2.422 1.399 19.617
Dy 2.422 1.399 23.055
Ni 0.000 0.000 0.000
Ni 0.000 0.000 3.980
Ni 0.000 0.000 7.895
Ni 0.000 0.000 11.875
Ni 0.000 0.000 15.855
Ni 0.000 0.000 19.770
Ni 0.000 1.402 13.903
Ni 0.000 1.400 17.812
Ni 0.000 1.402 21.722
Ni -1.208 3.495 13.903
Ni -1.210 3.496 17.812
Ni -1.208 3.495 21.722
Ni 0.000 2.797 15.848
Ni 0.000 2.797 19.777
Ni 1.214 0.701 2.028
Ni 1.212 0.700 5.937
Ni 1.214 0.701 9.847
Ni 1.208 3.495 13.903
Ni 1.210 3.496 17.812
Ni 1.208 3.495 21.722
Ni 2.422 1.399 3.973
Ni 2.422 1.399 7.902
Ni 3.631 0.701 2.028
Ni 3.632 0.700 5.937
Ni 3.631 0.701 9.847
Ni 2.422 2.794 2.028
Ni 2.422 2.796 5.937
Ni 2.422 2.794 9.847
```

## Properties
ΔE_f ... -402 meV per atom
Symmetry ... P6_3/mmc, No. 194

=====

No. 6
# YCuAs3

A relaxed structure of YCuAs3 (PBEsol, the Alexandria database).

The structure in extended XYZ format:
```
5
Lattice="5.277 0.000 0.000 0.000 5.277 0.000 0.000 0.000 5.277" Properties=species:S:1:pos:R:3 pbc="T T T"
Y 0.000 0.000 0.000
Cu 2.639 2.639 2.639
As 0.000 0.000 2.639
As 0.000 2.639 0.000
As 2.639 0.000 0.000
```

## Properties
ΔE_f ... 885 meV per atom
Symmetry ... Pm-3m, No. 221